{
  "formula": "BaTlPb6",
  "functional": "PBE",
  "state": "optimized geometry",
  "lattice_angstrom": [[5.5186, 0.0000, 0.0000], [0.0000, 6.5204, -3.7022], [0.0000, -0.0513, 7.4979]],
  "species": ["Ba", "Tl", "Pb", "Pb", "Pb", "Pb", "Pb", "Pb"],
  "fractional_positions": [[0.5000, 0.9165, 0.0835], [0.0000, 0.5837, 0.4163], [0.5000, 0.8953, 0.5729], [0.5000, 0.4271, 0.1047], [0.5000, 0.4275, 0.5725], [0.0000, 0.5395, 0.8946], [0.0000, 0.1054, 0.4605], [0.0000, 0.1051, 0.8949]],
  "formation_enthalpy_0k_kj_per_mol_atoms": -16.1
}